Entry 1:
LaThAg | PBE-GGA | optimized geometry

The space group is I4mm (No. 107) and the conventional cell measures 3.755, 3.755 and 12.719 Å, with angles of 90.00, 90.00 and 90.00 degrees. The inequivalent atoms are La at (0.000, 0.000, 0.000), Th at (0.000, 0.000, 0.305) and Ag at (0.000, 0.000, 0.662).

The calculation puts the final energy at -5.127 eV/atom. The energy above the lowest structure with this stoichiometry is 0.035 eV per atom. The density of states at the Fermi level is 3.68 states/eV/f.u. As for the energy of formation from the pure elements: -5.9 kJ/mol of atoms. The magnetic moment comes out at 0.00 μB/cell.

=====

Entry 2:
LiAgPt2 | PBE-GGA | optimized geometry

The space group is Cmmm (No. 65) and the conventional cell measures 2.808, 4.709 and 9.359 Å, with angles of 90.00, 90.00 and 90.00 degrees. The inequivalent atoms are Li at (0.000, 0.000, 0.000), Ag at (0.000, 0.000, 0.500) and Pt at (0.000, 0.500, 0.231).

The calculation puts the final energy at -4.492 eV/atom. The energy above the lowest structure with this stoichiometry is 0.067 eV per atom. The density of states at the Fermi level is 2.04 states/eV/f.u. As for the energy of formation from the pure elements: -27.0 kJ/mol of atoms. The magnetic moment comes out at 0.00 μB/cell.